A relaxed structure of CaNi6Sn12. Source: Alexandria via LeMat-Bulk, functional PBE.

Values from the calculation:
ΔE_f, meV per atom: -67
Raw total energy, eV/atom: -4.5263

a b c (Å): 7.889 7.889 7.889
angles (deg): 106.58 106.58 106.58
Positions (direct):
Ca 0.000 0.000 0.000
Ni 0.272 0.272 0.694
Ni 0.272 0.694 0.272
Ni 0.306 0.728 0.728
Ni 0.694 0.272 0.272
Ni 0.728 0.306 0.728
Ni 0.728 0.728 0.306
Sn 0.124 0.500 0.876
Sn 0.124 0.876 0.500
Sn 0.153 0.412 0.412
Sn 0.412 0.153 0.412
Sn 0.412 0.412 0.153
Sn 0.500 0.124 0.876
Sn 0.500 0.876 0.124
Sn 0.588 0.588 0.847
Sn 0.588 0.847 0.588
Sn 0.847 0.588 0.588
Sn 0.876 0.124 0.500
Sn 0.876 0.500 0.124